1.
DFT (PBE) results for a relaxed structure of Ga2B2I.

Structure (POSCAR):
```
Ga2B2I
1.0
-2.128 2.128 4.505
2.128 -2.128 4.505
2.128 2.128 -4.505
Ga B I
2 2 1
Direct
0.250 0.750 0.500
0.750 0.250 0.500
0.095 0.095 0.000
0.905 0.905 0.000
0.500 0.500 0.000
```

Summary:
Energy relative to the elements, uncorrected, meV per atom: 833
Theoretical density, g/cm³: 5.86
Total magnetic moment, μB per atom: 0.00
Calculated volume, Å³/cell: 82
Space group: I4/mmm (139)



2.
DFT (PBE) results for a relaxed structure of Ca2LaRu.

Structure (POSCAR):
```
Ca2LaRu
1.0
7.550 0.000 0.000
0.000 9.898 0.000
0.000 0.000 6.634
Ca La Ru
8 4 4
Direct
0.168 0.071 0.168
0.168 0.429 0.168
0.332 0.571 0.668
0.332 0.929 0.668
0.668 0.071 0.332
0.668 0.429 0.332
0.832 0.571 0.832
0.832 0.929 0.832
0.058 0.250 0.650
0.442 0.750 0.150
0.558 0.250 0.850
0.942 0.750 0.350
0.140 0.750 0.007
0.360 0.250 0.507
0.640 0.750 0.493
0.860 0.250 0.993
```

Summary:
Theoretical density, g/cm³: 4.29
Total magnetic moment, μB per atom: 0.00
DFT formation energy, meV/atom: -152
Calculated volume, Å³/cell: 496
Space group: Pnma (62)



3.
DFT (PBE) results for a relaxed structure of Ac5Tb2Pb5.

Structure (POSCAR):
```
Ac5Tb2Pb5
1.0
7.903 -2.378 0.000
7.903 2.378 0.000
-4.822 0.000 12.661
Ac Tb Pb
5 2 5
Direct
0.000 0.000 0.000
0.163 0.163 0.541
0.232 0.232 0.847
0.768 0.768 0.153
0.837 0.837 0.459
0.450 0.450 0.707
0.550 0.550 0.293
0.181 0.181 0.286
0.389 0.389 0.085
0.500 0.500 0.500
0.611 0.611 0.915
0.819 0.819 0.714
```

Summary:
Theoretical density, g/cm³: 8.68
Total magnetic moment, μB per atom: 0.08
DFT formation energy, meV/atom: -394
Calculated volume, Å³/cell: 476
Space group: C2/m (12)